CoTcAsO | PBE with a Hubbard U | optimized geometry

- E above lowest polymorph: 36 kJ/mol of formula units
- Spin magnetization: 1.8 μB per formula unit

a b c (Å): 3.9384 5.2290 5.4865
angles (deg): 90.00 90.00 90.00
Fractional coordinates of all 8 atoms:
Co (0.0000, 0.1845, 0.0000)
Co (0.0000, 0.8155, 0.5000)
Tc (0.5000, 0.1737, 0.3695)
Tc (0.5000, 0.8263, 0.8695)
As (0.5000, 0.3416, 0.7987)
As (0.5000, 0.6584, 0.2987)
O (0.0000, 0.1783, 0.3619)
O (0.0000, 0.8217, 0.8619)